VASP calculation (PBE-GGA) on a geometry-optimized PaBP2 structure.

Geometry as POSCAR:
```
PaBP2
1.0
-1.932 2.341 -0.086
-2.953 -0.448 0.548
-0.367 1.962 8.041
P B Pa
2 1 1
Cartesian
-0.811 1.493 5.266 P
-4.442 2.361 3.237 P
-2.627 1.927 4.251 B
0.000 0.000 0.000 Pa
```

space group: R-3m
DFT formation energy: 0.37 eV per atom

=====

VASP calculation (PBE-GGA) on a geometry-optimized Pa2BP structure.

Geometry as POSCAR:
```
Pa2BP
1.0
3.848 0.000 0.000
1.924 3.333 0.000
1.924 1.111 6.336
P B Pa
1 1 2
Cartesian
3.848 2.222 3.168 P
0.000 0.000 0.000 B
1.924 1.111 1.421 Pa
5.773 3.333 4.915 Pa
```

space group: R-3m
DFT formation energy: -0.68 eV per atom

=====

VASP calculation (PBE-GGA) on a geometry-optimized PaBP structure.

Geometry as POSCAR:
```
PaBP
1.0
3.583 0.000 0.000
0.000 7.733 0.000
0.000 0.000 7.009
Pa P B
4 4 4
Cartesian
0.896 2.294 1.241 Pa
2.687 5.440 5.768 Pa
2.687 1.573 4.746 Pa
0.896 6.160 2.263 Pa
0.896 7.243 4.797 P
2.687 0.490 2.211 P
2.687 4.357 1.293 P
0.896 3.376 5.716 P
0.896 3.686 3.778 B
2.687 4.047 3.231 B
2.687 0.181 0.273 B
0.896 7.552 6.736 B
```

space group: Pnma
DFT formation energy: -0.69 eV per atom

=====

VASP calculation (PBE-GGA) on a geometry-optimized PaBP structure.

Geometry as POSCAR:
```
PaBP
1.0
4.006 0.000 0.000
0.000 3.523 0.000
0.000 -1.761 3.051
P B Pa
1 1 1
Cartesian
0.668 0.000 2.034 P
0.667 0.000 0.000 B
2.671 1.761 1.017 Pa
```

space group: P-6m2
DFT formation energy: -0.65 eV per atom

=====

VASP calculation (PBE-GGA) on a geometry-optimized Pa2BPRu6 structure.

Geometry as POSCAR:
```
Pa2BPRu6
1.0
-3.610 1.104 -2.108
-0.627 -4.136 -1.092
-4.561 -1.204 7.179
Pa B P Ru
2 1 1 6
Cartesian
-3.364 -0.888 5.296 Pa
-1.196 -0.316 1.883 Pa
-4.399 -2.118 1.990 B
-2.118 -1.516 -1.600 P
-1.805 0.552 -1.054 Ru
-4.085 -0.050 2.536 Ru
-0.313 -2.068 -0.546 Ru
-2.594 -2.670 3.044 Ru
-5.489 -2.406 3.706 Ru
-3.308 -1.830 0.274 Ru
```

space group: P4/mmm
DFT formation energy: -0.45 eV per atom

=====

VASP calculation (PBE-GGA) on a geometry-optimized Pa4BPSe2 structure.

Geometry as POSCAR:
```
Pa4BPSe2
1.0
-3.856 0.197 0.564
0.579 -4.144 5.405
0.659 6.633 2.191
Pa B P Se
4 1 1 2
Cartesian
-1.633 0.538 2.144 Pa
-0.985 2.148 6.016 Pa
0.676 4.074 3.203 Pa
0.562 -1.584 4.393 Pa
-1.638 -1.974 2.985 B
0.000 0.000 0.000 P
-1.599 3.415 1.377 Se
0.619 1.245 3.798 Se
```

ΔE_f (raw): -1.034 eV per atom
space group: P2/m

=====

VASP calculation (PBE-GGA) on a geometry-optimized B4P2Pb structure.

Geometry as POSCAR:
```
B4P2Pb
1.0
-1.234 3.440 2.817
-4.294 -0.161 -1.684
-4.160 -2.068 4.483
Pb P B
1 2 4
Cartesian
0.000 0.000 0.000 Pb
-6.606 0.414 4.160 P
-3.081 0.797 1.457 P
-6.153 1.617 2.889 B
-3.534 -0.406 2.727 B
-2.147 -0.081 -0.842 B
-0.617 1.720 1.409 B
```

space group: I4/mmm
DFT formation energy: 1.88 eV per atom

=====

VASP calculation (PBE-GGA) on a geometry-optimized BPPb3 structure.

Geometry as POSCAR:
```
BPPb3
1.0
5.003 0.000 0.000
0.000 5.003 0.000
0.000 0.000 5.003
Pb P B
3 1 1
Cartesian
0.000 2.502 0.000 Pb
0.000 0.000 2.502 Pb
2.502 0.000 0.000 Pb
2.502 2.502 2.502 P
0.000 0.000 0.000 B
```

space group: Pm-3m
DFT formation energy: 0.76 eV per atom

=====

VASP calculation (PBE-GGA) on a geometry-optimized B3PPb structure.

Geometry as POSCAR:
```
B3PPb
1.0
-2.020 -2.775 -2.154
3.469 -1.967 -0.719
-0.553 -2.202 3.356
Pb P B
1 1 3
Cartesian
0.448 -3.472 0.241 Pb
0.000 0.000 0.000 P
1.734 -0.983 -0.360 B
-0.276 -1.101 1.678 B
-1.010 -1.387 -1.077 B
```

space group: Pm-3m
DFT formation energy: 1.40 eV per atom

=====

VASP calculation (PBE-GGA) on a geometry-optimized B3PPb structure.

Geometry as POSCAR:
```
B3PPb
1.0
-3.105 -3.055 1.445
3.161 -3.320 -0.225
1.195 0.843 4.350
Pb P B
1 1 3
Cartesian
0.000 0.000 0.000 Pb
0.626 -2.766 2.785 P
1.581 -1.660 -0.113 B
0.598 0.421 2.175 B
-1.553 -1.528 0.723 B
```

space group: Pm-3m
DFT formation energy: 2.71 eV per atom

=====

VASP calculation (PBE-GGA) on a geometry-optimized BPPb2 structure.

Geometry as POSCAR:
```
BPPb2
1.0
-4.892 -1.588 -2.794
3.142 -1.292 -4.767
-0.201 -6.900 -1.857
Pb P B
4 2 2
Cartesian
-2.476 -2.801 -2.670 Pb
1.062 -2.809 -3.930 Pb
-0.653 -6.318 -4.462 Pb
-1.836 -7.632 -7.775 Pb
0.000 0.000 0.000 P
-2.984 -4.964 -4.216 P
-0.875 -1.440 -3.781 B
1.033 -4.816 -5.202 B
```

space group: I-42d
DFT formation energy: 0.55 eV per atom

=====

VASP calculation (PBE-GGA) on a geometry-optimized BPPb2 structure.

Geometry as POSCAR:
```
BPPb2
1.0
0.000 3.521 3.521
3.521 0.000 3.521
3.521 3.521 0.000
Pb P B
2 1 1
Cartesian
1.761 1.761 1.761 Pb
5.282 5.282 5.282 Pb
3.521 3.521 3.521 P
0.000 0.000 0.000 B
```

space group: Fm-3m
DFT formation energy: 1.06 eV per atom

=====

Number 1: size of the total moment 0.000 μB/cell. Number 2: size of the total moment 0.000 μB/cell. Number 3: size of the total moment 0.000 μB/cell. Number 4: size of the total moment 0.000 μB/cell. Number 5: size of the total moment 0.000 μB/cell. Number 6: size of the total moment 0.000 μB/cell. Number 7: size of the total moment 0.000 μB/cell. Number 8: size of the total moment 0.000 μB/cell. Number 9: size of the total moment 0.000 μB/cell. Number 10: size of the total moment 0.000 μB/cell. Number 11: size of the total moment 0.000 μB/cell. Number 12: size of the total moment 0.000 μB/cell.